# Cs2CdCoF6

Crystalline Cs2CdCoF6 at its relaxed geometry (GGA+U, Alexandria via LeMat-Bulk).

Summary:
spin magnetization: 3.00 μB per formula unit
uncorrected energy: -42.34 eV for the cell shown
DOS(E_F): 0.00 states/eV/cell

Lattice parameters (Å, degrees): 6.255 6.255 6.228 59.85 59.85 90.00
Each line ends with the local moment (μB).
Atoms (fractional coordinates):
F 0.734 0.734 0.532  0.04
F 0.259 0.741 0.000  0.03
F 0.741 0.259 0.000  0.03
F 0.741 0.741 0.000  0.03
F 0.259 0.259 0.000  0.03
F 0.266 0.266 0.468  0.04
Cs 0.250 0.750 0.500  0.00
Cs 0.750 0.250 0.500  0.00
Co 0.500 0.500 0.000  2.77
Cd 0.000 0.000 0.000  0.02